Density functional theory data (PBE+U) for crystalline NbW3F at its relaxed geometry.

Output
energy above the most stable polymorph in this dataset	1077	meV/atom
D(E_F)	2.85	states/eV/cell
raw total energy	-22.5	eV per formula unit

abc: 5.2929 5.2929 5.2929
angles: 90.00 90.00 90.00
Closest atoms and distances in Å follow each position.
Positions (direct):
Nb1 0.0000 0.0000 0.0000  6 W 2.65
W1 0.0000 0.0000 0.5000  2 Nb 2.65
W2 0.0000 0.5000 0.0000  2 Nb 2.65
W3 0.5000 0.0000 0.0000  2 Nb 2.65
F1 0.5000 0.5000 0.5000  12 W 3.74